Entry from Alexandria via LeMat-Bulk: ZrTaW after structural relaxation (GGA-PBEsol).

Calculated values
**VASP energy**: -34.4 eV per formula unit
**Total moment**: 0.00 μB per formula unit
**Formation enthalpy at 0 K**: 359 meV per atom
**Symmetry**: P3m1

Cell: 3.127 3.127 6.593 Å, 90.00 90.00 120.00°
Positions (direct):
Ta 0.000 0.000 0.974
W 0.333 0.667 0.680
Zr 0.667 0.333 0.345